Record 1
DFT (PBE) results for a geometry-optimized Ca2LaHgC structure.

a = 5.2143 Å, b = 5.2143 Å, c = 4.8747 Å
α = 90.00°, β = 90.00°, γ = 90.00°
Closest atoms and distances in Å follow each position.
Fractional positions:
Ca: 0.0000 0.5000 0.0000  2 C 2.61
Ca: 0.5000 0.0000 0.0000  2 C 2.61
La: 0.0000 0.0000 0.5000  2 C 2.44
Hg: 0.5000 0.5000 0.5000  8 Ca 3.57, 4 La 3.69
C: 0.0000 0.0000 0.0000  2 La 2.44, 4 Ca 2.61

Values from the calculation:
For the energy above the most stable polymorph in this dataset, the calculation gives 0.0 meV/atom. The mass density comes out at 5.4 g cm⁻³. The energy relative to the elements is -0.113 eV/atom. Its space-group type is P4/mmm (123).


Record 2
DFT (PBE) results for a geometry-optimized PrCd2Cu structure.

a = 10.7194 Å, b = 10.7194 Å, c = 10.7194 Å
α = 17.59°, β = 17.59°, γ = 17.59°
Closest atoms and distances in Å follow each position.
Fractional positions:
Pr: 0.0000 0.0000 0.0000  2 Cd 3.26, 6 Pr 3.28
Cd: 0.1030 0.1030 0.1030  3 Cu 2.76
Cd: 0.8970 0.8970 0.8970  3 Cu 2.76
Cu: 0.5000 0.5000 0.5000  6 Cd 2.76

Values from the calculation:
The mass density comes out at 7.3 g cm⁻³. The energy relative to the elements is 0.289 eV/atom. Its space-group type is R-3m (166).


Record 3
DFT (PBE) results for a geometry-optimized MgCu2 structure.

a = 5.4564 Å, b = 5.4564 Å, c = 5.4564 Å
α = 128.53°, β = 128.53°, γ = 75.77°
Closest atoms and distances in Å follow each position.
Fractional positions:
Mg: 0.2500 0.2500 0.0000  8 Cu 2.76
Mg: 0.7500 0.7500 0.0000  8 Cu 2.76
Cu: 0.1830 0.6830 0.8661  5 Cu 2.45
Cu: 0.3170 0.1830 0.5000  5 Cu 2.45
Cu: 0.6830 0.8170 0.5000  5 Cu 2.45
Cu: 0.8170 0.3170 0.1339  5 Cu 2.45

Values from the calculation:
The mass density comes out at 5.2 g cm⁻³. The energy relative to the elements is 0.030 eV/atom. Its space-group type is I4/mcm (140).


Record 4
DFT (PBE) results for a geometry-optimized CsAgH6Ir structure.

a = 4.6506 Å, b = 5.8554 Å, c = 5.1671 Å
α = 90.00°, β = 115.51°, γ = 90.00°
Closest atoms and distances in Å follow each position.
Fractional positions:
Cs: 0.0000 0.0000 0.0000  12 H 2.97-3.28
Ag: 0.3300 0.5000 0.6495  3 H 1.91-1.98
H: 0.0064 0.5000 0.2648  1 Ir 1.71, 1 Ag 1.91
H: 0.5009 0.3200 0.0101  1 Ir 1.68, 1 H 1.87
H: 0.5009 0.6800 0.0101  1 Ir 1.68, 1 H 1.87
H: 0.6953 0.2318 0.3961  1 Ir 1.65
H: 0.6953 0.7682 0.3961  1 Ir 1.65
H: 0.8132 0.5000 0.6414  1 Ir 1.64
Ir: 0.6509 0.5000 0.2895  6 H 1.64-1.71

Values from the calculation:
As for the energy: -0.1375 Ha/atom. The mass density comes out at 5.7 g cm⁻³. Its space-group type is Pm (6).


Record 5
DFT (PBE) results for a geometry-optimized H6Pt3Pb structure.

a = 6.4312 Å, b = 6.4312 Å, c = 5.4677 Å
α = 90.00°, β = 90.00°, γ = 108.49°
Closest atoms and distances in Å follow each position.
Fractional positions:
H: 0.0000 0.5000 0.0000  2 Pt 1.81
H: 0.0000 0.5000 0.5000  2 Pt 1.81
H: 0.1030 0.8970 0.7500  2 Pt 1.74
H: 0.2376 0.2376 0.0000  3 Pt 1.79-1.99
H: 0.2376 0.2376 0.5000  3 Pt 1.79-1.99
H: 0.3352 0.6648 0.7500  2 Pt 1.80
H: 0.5000 0.0000 0.0000  2 Pt 1.81
H: 0.5000 0.0000 0.5000  2 Pt 1.81
H: 0.6648 0.3352 0.2500  2 Pt 1.80
H: 0.7624 0.7624 0.0000  3 Pt 1.79-1.99
H: 0.7624 0.7624 0.5000  3 Pt 1.79-1.99
H: 0.8970 0.1030 0.2500  2 Pt 1.74
Pt: 0.0000 0.0000 0.0000  4 H 1.74-1.79
Pt: 0.0000 0.0000 0.5000  4 H 1.74-1.79
Pt: 0.1268 0.4011 0.7500  5 H 1.80-1.99
Pt: 0.4011 0.1268 0.2500  5 H 1.80-1.99
Pt: 0.5989 0.8732 0.7500  5 H 1.80-1.99
Pt: 0.8732 0.5989 0.2500  5 H 1.80-1.99
Pb: 0.3525 0.6475 0.2500  10 H 2.56-2.85
Pb: 0.6475 0.3525 0.7500  10 H 2.56-2.85

Values from the calculation:
As for the energy: -0.1538 Ha/atom. The mass density comes out at 12.4 g cm⁻³. Its space-group type is Cmcm (63).


Record 6
DFT (PBE) results for a geometry-optimized LiAc4La3Se8 structure.

a = 8.7346 Å, b = 8.7346 Å, c = 8.7346 Å
α = 60.17°, β = 60.17°, γ = 60.17°
Closest atoms and distances in Å follow each position.
Fractional positions:
Li: 0.0000 0.0000 0.0000  6 Se 2.97
Ac: 0.0000 0.0000 0.5000  6 Se 3.13
Ac: 0.0000 0.5000 0.0000  6 Se 3.13
Ac: 0.5000 0.0000 0.0000  6 Se 3.13
Ac: 0.5000 0.5000 0.5000  6 Se 3.21
La: 0.0000 0.5000 0.5000  6 Se 3.05
La: 0.5000 0.0000 0.5000  6 Se 3.05
La: 0.5000 0.5000 0.0000  6 Se 3.05
Se: 0.2403 0.2403 0.7532  1 Li 2.97, 2 La 3.05, 3 Ac 3.13-3.21
Se: 0.2403 0.7532 0.2403  1 Li 2.97, 2 La 3.05, 3 Ac 3.13-3.21
Se: 0.2468 0.7597 0.7597  1 Li 2.97, 2 La 3.05, 3 Ac 3.13-3.21
Se: 0.2534 0.2534 0.2534  3 La 3.05, 3 Ac 3.13
Se: 0.7466 0.7466 0.7466  3 La 3.05, 3 Ac 3.13
Se: 0.7532 0.2403 0.2403  1 Li 2.97, 2 La 3.05, 3 Ac 3.13-3.21
Se: 0.7597 0.2468 0.7597  1 Li 2.97, 2 La 3.05, 3 Ac 3.13-3.21
Se: 0.7597 0.7597 0.2468  1 Li 2.97, 2 La 3.05, 3 Ac 3.13-3.21

Values from the calculation:
The mass density comes out at 6.9 g cm⁻³. The value obtained for the energy relative to the elements, uncorrected is -1860 meV per atom. Its space-group type is R-3m (166).


Record 7
DFT (PBE) results for a geometry-optimized Y3Pu2Co4 structure.

a = 5.7805 Å, b = 5.7805 Å, c = 8.6493 Å
α = 101.03°, β = 101.03°, γ = 40.01°
Closest atoms and distances in Å follow each position.
Fractional positions:
Y: 0.0000 0.0000 0.0000  6 Co 3.01-3.35
Y: 0.3770 0.3770 0.6161  6 Co 2.94-3.18
Y: 0.6230 0.6230 0.3839  6 Co 2.94-3.18
Pu: 0.3224 0.3224 0.2169  5 Co 2.47-2.56
Pu: 0.6776 0.6776 0.7831  5 Co 2.47-2.56
Co: 0.0859 0.0859 0.6230  2 Pu 2.50, 1 Co 2.53
Co: 0.2876 0.2876 0.9146  3 Pu 2.47-2.56, 2 Co 2.69
Co: 0.7124 0.7124 0.0854  3 Pu 2.47-2.56, 2 Co 2.69
Co: 0.9141 0.9141 0.3770  2 Pu 2.50, 1 Co 2.53

Values from the calculation:
The mass density comes out at 9.0 g cm⁻³. The energy relative to the elements is -0.146 eV/atom. Its space-group type is C2/m (12).


Record 8
DFT (PBE) results for a geometry-optimized Mn2V4W structure.

a = 6.9521 Å, b = 6.9521 Å, c = 6.9521 Å
α = 141.76°, β = 141.76°, γ = 55.19°
Closest atoms and distances in Å follow each position.
Fractional positions:
Mn: 0.1129 0.1129 0.0000  1 V 2.31
Mn: 0.8871 0.8871 0.0000  1 V 2.31
V: 0.0000 0.5000 0.5000  2 W 2.28
V: 0.3001 0.3001 0.0000  1 Mn 2.31, 1 W 2.46
V: 0.5000 0.0000 0.5000  2 W 2.28
V: 0.6999 0.6999 0.0000  1 Mn 2.31, 1 W 2.46
W: 0.5000 0.5000 0.0000  6 V 2.28-2.46

Values from the calculation:
For the energy above the most stable polymorph in this dataset, the calculation gives 958.1 meV/atom. The mass density comes out at 6.5 g cm⁻³. The energy relative to the elements is 1.203 eV/atom. Its space-group type is I4/mmm (139).


Record 9
DFT (PBE) results for a geometry-optimized Li3Co structure.

a = 4.6112 Å, b = 4.6112 Å, c = 4.6112 Å
α = 129.58°, β = 129.58°, γ = 74.07°
Closest atoms and distances in Å follow each position.
Fractional positions:
Li: 0.0000 0.0000 0.0000  8 Li 2.69, 4 Co 2.78
Li: 0.2500 0.7500 0.5000  4 Co 2.69, 8 Li 2.69-2.78
Li: 0.7500 0.2500 0.5000  4 Co 2.69, 8 Li 2.69-2.78
Co: 0.5000 0.5000 0.0000  12 Li 2.69-2.78

Values from the calculation:
The mass density comes out at 2.3 g cm⁻³. The energy relative to the elements is 0.338 eV/atom. Its space-group type is I4/mmm (139).


Record 10
DFT (PBE) results for a geometry-optimized Ac12Ru5Rh2 structure.

a = 8.8933 Å, b = 8.8933 Å, c = 10.3675 Å
α = 104.99°, β = 104.99°, γ = 53.84°
Closest atoms and distances in Å follow each position.
Fractional positions:
Ac: 0.0279 0.0279 0.3241  1 Ru 2.95, 2 Rh 3.07
Ac: 0.0568 0.5638 0.3531  3 Ru 2.82-3.13, 1 Rh 2.97
Ac: 0.1226 0.6156 0.9948  2 Ru 2.80-2.86
Ac: 0.3844 0.8774 0.0052  2 Ru 2.80-2.86
Ac: 0.4270 0.4270 0.6796  2 Rh 2.99, 1 Ru 3.18
Ac: 0.4362 0.9432 0.6469  3 Ru 2.82-3.13, 1 Rh 2.97
Ac: 0.5638 0.0568 0.3531  3 Ru 2.82-3.13, 1 Rh 2.97
Ac: 0.5730 0.5730 0.3204  2 Rh 2.99, 1 Ru 3.18
Ac: 0.6156 0.1226 0.9948  2 Ru 2.80-2.86
Ac: 0.8774 0.3844 0.0052  2 Ru 2.80-2.86
Ac: 0.9432 0.4362 0.6469  3 Ru 2.82-3.13, 1 Rh 2.97
Ac: 0.9721 0.9721 0.6759  1 Ru 2.95, 2 Rh 3.07
Ru: 0.2030 0.2030 0.8854  4 Ac 2.80-3.13
Ru: 0.2206 0.2206 0.4468  5 Ac 2.82-3.01
Ru: 0.5000 0.5000 0.0000  6 Ac 2.86-3.18
Ru: 0.7794 0.7794 0.5532  5 Ac 2.82-3.01
Ru: 0.7970 0.7970 0.1146  4 Ac 2.80-3.13
Rh: 0.2892 0.7108 0.5000  6 Ac 2.97-3.07
Rh: 0.7108 0.2892 0.5000  6 Ac 2.97-3.07

Values from the calculation:
The mass density comes out at 9.0 g cm⁻³. The energy relative to the elements is -0.219 eV/atom. Its space-group type is C2/m (12).


Record 11
DFT (PBE) results for a geometry-optimized ZrNi2HPt structure.

a = 3.8557 Å, b = 3.8557 Å, c = 4.0951 Å
α = 90.00°, β = 90.00°, γ = 90.00°
Closest atoms and distances in Å follow each position.
Fractional positions:
Zr: 0.0000 0.0000 0.0000  2 H 2.05
Ni: 0.0000 0.5000 0.5000  2 H 1.93
Ni: 0.5000 0.0000 0.5000  2 H 1.93
H: 0.0000 0.0000 0.5000  4 Ni 1.93, 2 Zr 2.05
Pt: 0.5000 0.5000 0.0000  4 Zr 2.73, 8 Ni 2.81

Values from the calculation:
For the energy above the most stable polymorph in this dataset, the calculation gives 0.0 meV/atom. The mass density comes out at 11.0 g cm⁻³. Its space-group type is P4/mmm (123).


Record 12
DFT (PBE) results for a geometry-optimized Er12AlPb3 structure.

a = 4.7890 Å, b = 4.7890 Å, c = 19.1909 Å
α = 90.00°, β = 90.00°, γ = 90.00°
Closest atoms and distances in Å follow each position.
Fractional positions:
Er: 0.0000 0.0000 0.0000  8 Er 3.31, 4 Al 3.39
Er: 0.0000 0.0000 0.2473  4 Pb 3.39, 8 Er 3.41-3.43
Er: 0.0000 0.0000 0.5000  4 Pb 3.39, 8 Er 3.41
Er: 0.0000 0.0000 0.7527  4 Pb 3.39, 8 Er 3.41-3.43
Er: 0.0000 0.5000 0.1194  8 Er 3.31-3.43, 2 Al 3.31, 2 Pb 3.42
Er: 0.0000 0.5000 0.3736  8 Er 3.39-3.41, 4 Pb 3.41
Er: 0.0000 0.5000 0.6264  8 Er 3.39-3.41, 4 Pb 3.41
Er: 0.0000 0.5000 0.8806  8 Er 3.31-3.43, 2 Al 3.31, 2 Pb 3.42
Er: 0.5000 0.0000 0.1194  8 Er 3.31-3.43, 2 Al 3.31, 2 Pb 3.42
Er: 0.5000 0.0000 0.3736  8 Er 3.39-3.41, 4 Pb 3.41
Er: 0.5000 0.0000 0.6264  8 Er 3.39-3.41, 4 Pb 3.41
Er: 0.5000 0.0000 0.8806  8 Er 3.31-3.43, 2 Al 3.31, 2 Pb 3.42
Al: 0.5000 0.5000 0.0000  12 Er 3.31-3.39
Pb: 0.5000 0.5000 0.2468  12 Er 3.39-3.42
Pb: 0.5000 0.5000 0.5000  12 Er 3.39-3.41
Pb: 0.5000 0.5000 0.7532  12 Er 3.39-3.42

Values from the calculation:
The mass density comes out at 10.0 g cm⁻³. The energy relative to the elements is -0.243 eV/atom. Its space-group type is P4/mmm (123).


Record 13
DFT (PBE) results for a geometry-optimized Tb3Pr2DyAs6 structure.

a = 9.3743 Å, b = 9.3743 Å, c = 8.3852 Å
α = 102.92°, β = 102.92°, γ = 25.86°
Closest atoms and distances in Å follow each position.
Fractional positions:
Tb: 0.0000 0.0000 0.0000  6 As 2.93-2.97
Tb: 0.3329 0.3329 0.6660  6 As 2.92-2.97
Tb: 0.6671 0.6671 0.3340  6 As 2.92-2.97
Pr: 0.3344 0.3344 0.1682  6 As 3.00-3.02
Pr: 0.6656 0.6656 0.8318  6 As 3.00-3.02
Dy: 0.0000 0.0000 0.5000  6 As 2.95-2.96
As: 0.1644 0.1644 0.0890  3 Tb 2.93, 3 Pr 3.01-3.02
As: 0.1659 0.1659 0.5757  3 Tb 2.92-2.97, 1 Dy 2.95, 2 Pr 3.00
As: 0.4972 0.4972 0.7474  3 Tb 2.92-2.97, 2 Dy 2.96, 1 Pr 3.00
As: 0.5028 0.5028 0.2526  3 Tb 2.92-2.97, 2 Dy 2.96, 1 Pr 3.00
As: 0.8341 0.8341 0.4243  3 Tb 2.92-2.97, 1 Dy 2.95, 2 Pr 3.00
As: 0.8356 0.8356 0.9110  3 Tb 2.93, 3 Pr 3.01-3.02

Values from the calculation:
The mass density comes out at 7.3 g cm⁻³. The energy relative to the elements is -1.517 eV/atom. Its space-group type is C2/m (12).